A plane-wave DFT calculation with PBE was carried out for crystalline Y4Ho7Mg at its relaxed geometry.

Lattice parameters (Å, degrees): 6.646 6.646 12.553 114.05 114.05 51.71
Atoms (fractional coordinates):
Y1 0.129 0.129 0.272
Y2 0.329 0.329 0.861
Y3 0.671 0.671 0.139
Y4 0.871 0.871 0.728
Ho1 0.000 0.000 0.500
Ho2 0.133 0.133 0.983
Ho3 0.298 0.298 0.574
Ho4 0.409 0.409 0.219
Ho5 0.591 0.591 0.781
Ho6 0.702 0.702 0.426
Ho7 0.867 0.867 0.017
Mg1 0.500 0.500 0.500

Computed properties:
final energy	-4.686	eV per atom
space-group type	No. 12
energy relative to the lowest polymorph listed for this composition	171.3	meV per atom
ρ	6.57	g/cm³
energy of formation from the pure elements	3.260	eV per formula unit